Li2Ho2InPd5 after structural relaxation, computed with PBE.

Output
The formation energy comes out at -0.6917 eV/atom. Its total magnetic moment is 0.0 μB per formula unit. Its space group is P4/mbm.

abc: 3.690 9.630 9.630
angles: 90.00 90.00 90.00
Positions (direct):
Li: 0.000 0.120 0.620
Li: 0.000 0.880 0.380
Li: 0.000 0.620 0.880
Li: 0.000 0.380 0.120
Ho: 0.000 0.677 0.177
Ho: 0.000 0.323 0.823
Ho: 0.000 0.177 0.323
Ho: 0.000 0.823 0.677
In: 0.000 0.000 0.000
In: 0.000 0.500 0.500
Pd: 0.500 0.210 0.070
Pd: 0.500 0.790 0.930
Pd: 0.500 0.070 0.790
Pd: 0.500 0.710 0.430
Pd: 0.500 0.930 0.210
Pd: 0.500 0.290 0.570
Pd: 0.500 0.570 0.710
Pd: 0.500 0.430 0.290
Pd: 0.500 0.500 0.000
Pd: 0.500 0.000 0.500

Ba4Al2H after structural relaxation, computed with PBE.

Output
Its total magnetic moment is 0.0 μB per formula unit. Its relative energy among the computed polymorphs is 6 meV per atom. Its space group is C2/m.

abc: 4.588 7.291 10.257
angles: 120.21 102.92 90.00
Positions (direct):
Ba: 0.088 0.412 0.175
Ba: 0.912 0.588 0.825
Ba: 0.349 0.988 0.698
Ba: 0.651 0.012 0.302
Al: 0.262 0.416 0.523
Al: 0.738 0.584 0.477
H: 0.000 0.000 0.000

NpZn2 after structural relaxation, computed with PBE.

Output
The formation energy comes out at 0.0795 eV/atom. Its total magnetic moment is 4.1 μB per formula unit. Its space group is Fd-3m.

abc: 5.386 5.386 5.386
angles: 60.00 60.00 60.00
Each line ends with the local moment (μB).
Positions (direct):
Np: 0.000 0.000 0.000  3.89
Np: 0.250 0.250 0.250  3.89
Zn: 0.125 0.625 0.625  -0.01
Zn: 0.625 0.125 0.625  -0.01
Zn: 0.625 0.625 0.625  -0.01
Zn: 0.625 0.625 0.125  -0.01

- total magnetic moment of number 1 (Li2Ho2InPd5)?
  0.0 μB per formula unit

- What is the total magnetic moment in the third record?
  4.1 μB per formula unit

- Which of these has the highest total magnetic moment?
  NpZn2